{"formula": "CdFePd4", "functional": "GGA-PBE", "state": "relaxed", "final_energy_ev_per_atom": -5.09, "relative_energy_ev_per_fu": 0.60, "n_ef_per_ev_atom": 0.552, "e_form_ev_per_atom": -0.066, "m_tot_mub_per_cell": 3.8, "lattice": [[4.420, -1.397, 0.000], [4.420, 1.397, 0.000], [-3.879, 0.000, 7.898]], "species": ["Cd", "Fe", "Pd", "Pd", "Pd", "Pd"], "fractional_positions": [[0.000, 0.000, 0.000], [0.500, 0.500, 0.500], [0.154, 0.154, 0.354], [0.345, 0.345, 0.170], [0.655, 0.655, 0.830], [0.846, 0.846, 0.646]]}